Here is crystalline Ba2TlH2 at its relaxed geometry from Alexandria. Energies are from PBE.

For the density of states at the Fermi level, the calculation gives 3.41 states/eV/cell. As for the final energy: -2.996 eV per atom.

Lattice parameters (Å, degrees): 4.3024 4.3024 8.2830 74.95 74.95 90.00
Sites, in units of the cell vectors:
H 0.7500 0.2500 0.5000
H 0.2500 0.7500 0.5000
Tl 0.0000 0.0000 0.0000
Ba 0.3479 0.3479 0.3043
Ba 0.6521 0.6521 0.6957


Here is crystalline EuVP2 at its relaxed geometry from Alexandria. Energies are from PBE.

For the density of states at the Fermi level, the calculation gives 5.81 states/eV/cell. As for the final energy: -8.375 eV per atom.

Lattice parameters (Å, degrees): 3.6745 3.6745 6.7101 74.11 74.11 60.00
Each line ends with the local moment (μB).
Sites, in units of the cell vectors:
Eu 0.5000 0.5000 0.5000  6.69
P 0.2665 0.2665 0.2005  0.00
P 0.7335 0.7335 0.7995  0.00
V 0.0000 0.0000 0.0000  -0.71


Here is crystalline AsRuSeBr2 at its relaxed geometry from Alexandria. Energies are from PBE.

For the density of states at the Fermi level, the calculation gives 5.40 states/eV/cell. Its uncorrected formation energy is 122 kJ per mole of atoms.

Lattice parameters (Å, degrees): 5.3108 5.3108 5.1347 90.00 90.00 90.00
Each line ends with the local moment (μB).
Sites, in units of the cell vectors:
Ru 0.5000 0.5000 0.5000  2.84
As 0.0000 0.0000 0.5000  0.28
Se 0.0000 0.0000 0.0000  -0.08
Br 0.0000 0.5000 0.0000  0.06
Br 0.5000 0.0000 0.0000  0.06


Here is crystalline LiSb5 at its relaxed geometry from Alexandria. Energies are from PBE.

For the density of states at the Fermi level, the calculation gives 2.81 states/eV/cell. Its uncorrected formation energy is 5 kJ per mole of atoms.

Lattice parameters (Å, degrees): 5.8167 5.8167 5.3409 90.00 90.00 120.00
Sites, in units of the cell vectors:
Li 0.0000 0.0000 0.5000
Sb 0.6987 0.0000 0.0000
Sb 0.3013 0.3013 0.0000
Sb 0.0000 0.6987 0.0000
Sb 0.6667 0.3333 0.5000
Sb 0.3333 0.6667 0.5000


Here is crystalline RbNd2Y3Te6 at its relaxed geometry from Alexandria. Energies are from PBE.

For the density of states at the Fermi level, the calculation gives 4.32 states/eV/cell. Its uncorrected formation energy is -129 kJ per mole of atoms.

Lattice parameters (Å, degrees): 4.4121 9.2429 10.1511 104.57 102.55 90.00
Sites, in units of the cell vectors:
Rb 0.5000 0.0000 0.0000
Nd 0.8268 0.6495 0.6537
Nd 0.1732 0.3505 0.3463
Y 0.5000 0.5000 0.0000
Y 0.8370 0.1769 0.6740
Y 0.1630 0.8231 0.3260
Te 0.3237 0.9184 0.6474
Te 0.6619 0.5913 0.3239
Te 0.6763 0.0816 0.3526
Te 0.0010 0.2733 0.0019
Te 0.9990 0.7267 0.9981
Te 0.3381 0.4087 0.6761


Here is crystalline SrRhBr2 at its relaxed geometry from Alexandria. Energies are from PBE.

For the density of states at the Fermi level, the calculation gives 2.69 states/eV/cell. Its uncorrected formation energy is -75 kJ per mole of atoms.

Lattice parameters (Å, degrees): 8.2448 8.2448 8.2448 154.02 152.25 38.37
Sites, in units of the cell vectors:
Sr 0.3211 0.8211 0.5000
Rh 0.4756 0.4756 0.0000
Br 0.9802 0.9802 0.0000
Br 0.7231 0.2231 0.5000


Here is crystalline Zn5Si2N6 at its relaxed geometry from Alexandria. Energies are from PBE.

Its uncorrected formation energy is -26 kJ per mole of atoms.

Lattice parameters (Å, degrees): 5.2436 5.2436 13.3665 87.75 87.75 64.56
Sites, in units of the cell vectors:
Zn 0.4564 0.5436 0.7500
Zn 0.5436 0.4564 0.2500
Zn 0.1502 0.6209 0.0374
Zn 0.3791 0.8498 0.4626
Zn 0.8498 0.3791 0.9626
Zn 0.6209 0.1502 0.5374
Zn 0.7900 0.9264 0.7274
Zn 0.0736 0.2100 0.7726
Zn 0.2100 0.0736 0.2726
Zn 0.9264 0.7900 0.2274
Si 0.9684 0.4561 0.5930
Si 0.5439 0.0316 0.9070
Si 0.0316 0.5439 0.4070
Si 0.4561 0.9684 0.0930
N 0.0935 0.5508 0.6975
N 0.4492 0.9065 0.8025
N 0.9065 0.4492 0.3025
N 0.5508 0.0935 0.1975
N 0.7775 0.7318 0.5033
N 0.2682 0.2225 0.9967
N 0.2225 0.2682 0.4967
N 0.7318 0.7775 0.0033
N 0.7700 0.2842 0.6413
N 0.7158 0.2300 0.8587
N 0.2300 0.7158 0.3587
N 0.2842 0.7700 0.1413


Here is crystalline YMg8Co2 at its relaxed geometry from Alexandria. Energies are from PBE.

For the density of states at the Fermi level, the calculation gives 8.98 states/eV/cell. As for the final energy: -2.885 eV per atom.

Lattice parameters (Å, degrees): 5.1255 7.1787 7.1787 112.96 82.40 82.40
Sites, in units of the cell vectors:
Y 0.5000 0.0000 0.0000
Mg 0.9231 0.0681 0.3330
Mg 0.9231 0.3330 0.0681
Mg 0.2721 0.4184 0.4184
Mg 0.5000 0.2687 0.7313
Mg 0.5000 0.7313 0.2687
Mg 0.7279 0.5816 0.5816
Mg 0.0769 0.6670 0.9319
Mg 0.0769 0.9319 0.6670
Co 0.0000 0.6916 0.3084
Co 0.0000 0.3084 0.6916


Here is crystalline RbNa2Hg3 at its relaxed geometry from Alexandria. Energies are from PBE.

For the density of states at the Fermi level, the calculation gives 5.52 states/eV/cell. As for the final energy: -0.959 eV per atom.

Lattice parameters (Å, degrees): 6.5792 8.0281 8.0281 100.55 90.00 90.00
Sites, in units of the cell vectors:
Rb 0.2500 0.3078 0.3078
Rb 0.7500 0.6922 0.6922
Na 0.5000 0.7872 0.2128
Na 0.0000 0.7872 0.2128
Na 0.0000 0.2128 0.7872
Na 0.5000 0.2128 0.7872
Hg 0.7500 0.4594 0.0746
Hg 0.7500 0.0746 0.4594
Hg 0.2500 0.5406 0.9254
Hg 0.7500 0.0731 0.0731
Hg 0.2500 0.9269 0.9269
Hg 0.2500 0.9254 0.5406


Here is crystalline Mg2MnCo at its relaxed geometry from Alexandria. Energies are from PBE.

For the density of states at the Fermi level, the calculation gives 3.37 states/eV/cell. As for the final energy: -4.655 eV per atom.

Lattice parameters (Å, degrees): 4.4316 4.4316 4.4316 60.00 60.00 60.00
Each line ends with the local moment (μB).
Sites, in units of the cell vectors:
Co 0.5000 0.5000 0.5000  1.16
Mg 0.0000 0.0000 0.0000  -0.03
Mg 0.7500 0.7500 0.7500  -0.03
Mn 0.2500 0.2500 0.2500  3.36


Here is crystalline Sc3GeSe at its relaxed geometry from Alexandria. Energies are from PBE.

For the density of states at the Fermi level, the calculation gives 6.56 states/eV/cell. Its uncorrected formation energy is -40 kJ per mole of atoms.

Lattice parameters (Å, degrees): 4.9372 4.9372 4.9372 90.00 90.00 90.00
Sites, in units of the cell vectors:
Sc 0.0000 0.5000 0.0000
Sc 0.0000 0.0000 0.5000
Sc 0.5000 0.0000 0.0000
Ge 0.5000 0.5000 0.5000
Se 0.0000 0.0000 0.0000


Here is crystalline ScTlIn2Cl6 at its relaxed geometry from Alexandria. Energies are from PBE.

For the density of states at the Fermi level, the calculation gives 0.00 states/eV/cell. Its uncorrected formation energy is -134 kJ per mole of atoms.

Lattice parameters (Å, degrees): 7.7162 7.7167 7.8037 60.32 60.34 59.94
Sites, in units of the cell vectors:
Sc 0.3222 0.3221 0.0335
Tl 0.8128 0.8129 0.5615
In 0.5310 0.5310 0.4079
In 0.0232 0.0233 0.9298
Cl 0.5458 0.2043 0.2414
Cl 0.2041 0.0084 0.2420
Cl 0.0082 0.5465 0.2411
Cl 0.4311 0.6496 0.7856
Cl 0.6499 0.1328 0.7864
Cl 0.1335 0.4309 0.7860


Here is crystalline Y2GeP at its relaxed geometry from Alexandria. Energies are from PBE.

For the density of states at the Fermi level, the calculation gives 3.60 states/eV/cell. As for the final energy: -6.491 eV per atom.

Lattice parameters (Å, degrees): 5.0069 5.0069 5.0069 60.00 60.00 60.00
Sites, in units of the cell vectors:
Y 0.2500 0.2500 0.2500
Y 0.7500 0.7500 0.7500
P 0.0000 0.0000 0.0000
Ge 0.5000 0.5000 0.5000


Here is crystalline Zr2TaTi5Ir2 at its relaxed geometry from Alexandria. Energies are from PBE.

For the density of states at the Fermi level, the calculation gives 31.20 states/eV/cell. As for the final energy: -8.903 eV per atom.

Lattice parameters (Å, degrees): 3.2189 10.7172 10.7172 90.00 90.00 90.00
Sites, in units of the cell vectors:
Zr 0.0000 0.6767 0.1767
Zr 0.0000 0.3233 0.8233
Zr 0.0000 0.1767 0.3233
Zr 0.0000 0.8233 0.6767
Ta 0.0000 0.0000 0.0000
Ta 0.0000 0.5000 0.5000
Ti 0.5000 0.2006 0.0564
Ti 0.5000 0.7994 0.9436
Ti 0.5000 0.0564 0.7994
Ti 0.5000 0.7006 0.4436
Ti 0.5000 0.9436 0.2006
Ti 0.5000 0.2994 0.5564
Ti 0.5000 0.5564 0.7006
Ti 0.5000 0.4436 0.2994
Ti 0.5000 0.5000 0.0000
Ti 0.5000 0.0000 0.5000
Ir 0.0000 0.1293 0.6293
Ir 0.0000 0.8707 0.3707
Ir 0.0000 0.6293 0.8707
Ir 0.0000 0.3707 0.1293


Here is crystalline AcZnSn2 at its relaxed geometry from Alexandria. Energies are from PBE.

For the density of states at the Fermi level, the calculation gives 2.43 states/eV/cell. As for the final energy: -3.801 eV per atom.

Lattice parameters (Å, degrees): 5.1780 4.6606 9.6306 104.00 90.00 90.00
Sites, in units of the cell vectors:
Ac 0.2500 0.8953 0.7907
Ac 0.7500 0.1047 0.2093
Zn 0.7500 0.3238 0.6476
Zn 0.2500 0.6762 0.3524
Sn 0.2500 0.2532 0.5065
Sn 0.7500 0.7468 0.4935
Sn 0.7500 0.4649 0.9298
Sn 0.2500 0.5351 0.0702


Here is crystalline Nd2AlBPt6 at its relaxed geometry from Alexandria. Energies are from PBE.

For the density of states at the Fermi level, the calculation gives 3.13 states/eV/cell. As for the final energy: -6.533 eV per atom.

Lattice parameters (Å, degrees): 5.8576 5.8576 6.7221 115.83 115.83 90.00
Sites, in units of the cell vectors:
Nd 0.7151 0.2156 0.4302
Nd 0.2151 0.7156 0.4302
Al 0.5663 0.5668 0.1326
B 0.0740 0.0745 0.1480
Pt 0.7296 0.7301 0.9346
Pt 0.7852 0.7857 0.5705
Pt 0.2050 0.2055 0.9346
Pt 0.7296 0.2055 0.9346
Pt 0.2740 0.2745 0.5480
Pt 0.2050 0.7301 0.9346


Here is crystalline Zr6Sc at its relaxed geometry from Alexandria. Energies are from PBE.

For the density of states at the Fermi level, the calculation gives 19.41 states/eV/cell. As for the final energy: -7.935 eV per atom.

Lattice parameters (Å, degrees): 5.8528 5.8528 9.9429 90.00 90.00 90.00
Sites, in units of the cell vectors:
Zr 0.5000 0.5000 0.1337
Zr 0.0000 0.0000 0.1337
Zr 0.0000 0.0000 0.8663
Zr 0.5000 0.5000 0.8663
Zr 0.8246 0.6754 0.3535
Zr 0.3246 0.8246 0.3535
Zr 0.6754 0.1754 0.3535
Zr 0.1754 0.3246 0.3535
Zr 0.6754 0.8246 0.6465
Zr 0.1754 0.6754 0.6465
Zr 0.8246 0.3246 0.6465
Zr 0.3246 0.1754 0.6465
Sc 0.5000 0.0000 0.0000
Sc 0.0000 0.5000 0.0000


Here is crystalline PrPbAu at its relaxed geometry from Alexandria. Energies are from PBE.

For the density of states at the Fermi level, the calculation gives 4.45 states/eV/cell. As for the final energy: -4.503 eV per atom.

Lattice parameters (Å, degrees): 4.9228 4.9228 7.6956 90.00 90.00 120.00
Sites, in units of the cell vectors:
Pr 0.0000 0.0000 0.5000
Pr 0.0000 0.0000 0.0000
Pb 0.3333 0.6667 0.7500
Pb 0.6667 0.3333 0.2500
Au 0.3333 0.6667 0.2500
Au 0.6667 0.3333 0.7500


Here is crystalline Dy3YSe4 at its relaxed geometry from Alexandria. Energies are from PBE.

For the density of states at the Fermi level, the calculation gives 5.11 states/eV/cell. Its uncorrected formation energy is -168 kJ per mole of atoms.

Lattice parameters (Å, degrees): 5.7679 5.7679 5.7679 90.00 90.00 90.00
Sites, in units of the cell vectors:
Dy 0.0000 0.5000 0.5000
Dy 0.5000 0.0000 0.5000
Dy 0.5000 0.5000 0.0000
Y 0.0000 0.0000 0.0000
Se 0.5000 0.0000 0.0000
Se 0.0000 0.5000 0.0000
Se 0.0000 0.0000 0.5000
Se 0.5000 0.5000 0.5000


Here is crystalline NpHgPd4 at its relaxed geometry from Alexandria. Energies are from PBE.

For the density of states at the Fermi level, the calculation gives 14.35 states/eV/cell. As for the final energy: -5.971 eV per atom.

Lattice parameters (Å, degrees): 5.3867 5.3867 5.3867 60.00 60.00 60.00
Each line ends with the local moment (μB).
Sites, in units of the cell vectors:
Np 0.2500 0.2500 0.2500  3.72
Hg 0.0000 0.0000 0.0000  0.02
Pd 0.6253 0.6253 0.1240  -0.10
Pd 0.6253 0.1240 0.6253  -0.10
Pd 0.6253 0.6253 0.6253  -0.10
Pd 0.1240 0.6253 0.6253  -0.10


Here is crystalline Cs2MgTcBr6 at its relaxed geometry from Alexandria. Energies are from PBE.

For the density of states at the Fermi level, the calculation gives 0.00 states/eV/cell. Its uncorrected formation energy is -106 kJ per mole of atoms.

Lattice parameters (Å, degrees): 7.8148 7.8148 7.8148 60.00 60.00 90.00
Each line ends with the local moment (μB).
Sites, in units of the cell vectors:
Cs 0.7500 0.2500 0.5000  0.00
Cs 0.2500 0.7500 0.5000  0.00
Mg 0.5000 0.5000 0.0000  0.03
Tc 0.0000 0.0000 0.0000  3.90
Br 0.2534 0.2534 0.4931  0.06
Br 0.7466 0.7466 0.5069  0.06
Br 0.2537 0.2537 0.0000  0.06
Br 0.7463 0.7463 0.0000  0.06
Br 0.7463 0.2537 0.0000  0.06
Br 0.2537 0.7463 0.0000  0.06


Here is crystalline ReSiAs2 at its relaxed geometry from Alexandria. Energies are from PBE.

For the density of states at the Fermi level, the calculation gives 3.14 states/eV/cell. Its uncorrected formation energy is 72 kJ per mole of atoms.

Lattice parameters (Å, degrees): 4.9022 3.6947 3.6947 90.00 90.00 90.00
Each line ends with the local moment (μB).
Sites, in units of the cell vectors:
As 0.0000 0.0000 0.0000  -0.01
As 0.0000 0.5000 0.5000  -0.01
Re 0.5000 0.5000 0.0000  0.59
Si 0.5000 0.0000 0.5000  0.00


Here is crystalline Pr3Zn2Ir at its relaxed geometry from Alexandria. Energies are from PBE.

For the density of states at the Fermi level, the calculation gives 23.06 states/eV/cell. As for the final energy: -4.710 eV per atom.

Lattice parameters (Å, degrees): 4.5353 10.9733 12.5829 90.00 90.00 90.00
Sites, in units of the cell vectors:
Pr 0.2500 0.3850 0.0552
Pr 0.7500 0.6150 0.9448
Pr 0.7500 0.8850 0.4448
Pr 0.2500 0.1150 0.5552
Pr 0.2500 0.7100 0.2364
Pr 0.7500 0.2900 0.7636
Pr 0.7500 0.2100 0.2636
Pr 0.2500 0.7900 0.7364
Pr 0.2500 0.4397 0.3898
Pr 0.7500 0.5603 0.6102
Pr 0.7500 0.9397 0.1102
Pr 0.2500 0.0603 0.8898
Zn 0.2500 0.7023 0.4883
Zn 0.7500 0.2977 0.5117
Zn 0.7500 0.2023 0.0117
Zn 0.2500 0.7977 0.9883
Zn 0.2500 0.0055 0.2969
Zn 0.7500 0.9945 0.7031
Zn 0.7500 0.5055 0.2031
Zn 0.2500 0.4945 0.7969
Ir 0.2500 0.1318 0.1182
Ir 0.7500 0.8682 0.8818
Ir 0.7500 0.6318 0.3818
Ir 0.2500 0.3682 0.6182


What are the M_tot values for these records? In order: 0.00 6.06 3.85 0.00 0.00 0.00 0.00 0.01 0.00 4.42 0.00 0.00 0.00 0.00 0.00 0.00 0.00 0.00 0.00 3.59 5.00 0.65 0.00 Bohr magnetons per cell.